No. 1
A relaxed Ho3TmN4 crystal, computed with GGA-PBE.

Geometry as POSCAR:
```
Ho3TmN4
1.0
4.863 0.000 0.000
0.000 4.863 0.000
0.000 0.000 4.863
Ho Tm N
3 1 4
direct
0.000 0.000 0.500 Ho
0.000 0.500 0.000 Ho
0.500 0.000 0.000 Ho
0.500 0.500 0.500 Tm
0.000 0.000 0.000 N
0.000 0.500 0.500 N
0.500 0.000 0.500 N
0.500 0.500 0.000 N
```

Computed properties:
- DFT total energy: -8.202 eV/atom

---

No. 2
A relaxed Pm3HoZn2 crystal, computed with GGA-PBE.

Geometry as POSCAR:
```
Pm3HoZn2
1.0
-3.505 7.248 3.643
3.505 -7.248 3.643
3.505 7.248 -3.643
Pm Ho Zn
6 2 4
direct
0.023 0.750 0.273 Pm
0.250 0.250 0.000 Pm
0.477 0.750 0.727 Pm
0.523 0.250 0.273 Pm
0.750 0.750 0.000 Pm
0.977 0.250 0.727 Pm
0.000 0.500 0.500 Ho
0.500 0.000 0.500 Ho
0.137 0.207 0.344 Zn
0.363 0.707 0.070 Zn
0.637 0.293 0.930 Zn
0.863 0.793 0.656 Zn
```

Computed properties:
- ΔH_f (0 K): 0.05 eV/atom
- Polymorph energy (0 for the lowest one): 262 meV per atom
- DFT total energy: -3.509 eV/atom

---

No. 3
A relaxed LiAl6Rh crystal, computed with GGA-PBE.

Geometry as POSCAR:
```
LiAl6Rh
1.0
4.394 2.537 2.038
-4.394 2.537 2.038
0.000 -5.074 2.038
Li Al Rh
1 6 1
direct
0.000 0.000 0.000 Li
0.227 0.227 0.693 Al
0.227 0.693 0.227 Al
0.307 0.773 0.773 Al
0.693 0.227 0.227 Al
0.773 0.307 0.773 Al
0.773 0.773 0.307 Al
0.500 0.500 0.500 Rh
```

Computed properties:
- ΔH_f (0 K): -0.19 eV/atom
- DFT total energy: -4.159 eV/atom

---

No. 4
A relaxed BaMn2Pb crystal, computed with GGA-PBE.

Geometry as POSCAR:
```
BaMn2Pb
1.0
-2.682 2.682 3.811
2.682 -2.682 3.811
2.682 2.682 -3.811
Ba Mn Pb
1 2 1
direct
0.000 0.000 0.000 Ba
0.250 0.750 0.500 Mn
0.500 0.500 0.000 Mn
0.750 0.250 0.500 Pb
```

Computed properties:
- ΔH_f (0 K): 0.57 eV/atom
- DFT total energy: -5.420 eV/atom

---

No. 5
A relaxed NpAl2AuO8 crystal, computed with GGA-PBE.

Geometry as POSCAR:
```
NpAl2AuO8
1.0
3.468 -3.246 0.000
3.468 3.246 0.000
-0.658 0.000 6.115
Np Al Au O
1 2 1 8
direct
0.000 0.000 0.000 Np
0.483 0.483 0.737 Al
0.517 0.517 0.263 Al
0.000 0.000 0.500 Au
0.210 0.210 0.752 O
0.233 0.233 0.191 O
0.312 0.688 0.000 O
0.317 0.683 0.500 O
0.683 0.317 0.500 O
0.688 0.312 0.000 O
0.767 0.767 0.809 O
0.790 0.790 0.248 O
```

Computed properties:
- DFT total energy: -7.337 eV/atom

---

No. 6
A relaxed VAu3Se crystal, computed with GGA-PBE.

Geometry as POSCAR:
```
VAu3Se
1.0
4.960 0.000 0.000
0.000 4.960 0.000
0.000 0.000 4.960
V Au Se
1 3 1
direct
0.000 0.000 0.000 V
0.000 0.500 0.500 Au
0.500 0.000 0.500 Au
0.500 0.500 0.000 Au
0.500 0.500 0.500 Se
```

Computed properties:
- Polymorph energy (0 for the lowest one): 0 meV per atom
- DFT total energy: -3.595 eV/atom

---

No. 7
A relaxed Tb3Nd5Te8 crystal, computed with GGA-PBE.

Geometry as POSCAR:
```
Tb3Nd5Te8
1.0
4.441 2.564 7.310
-4.441 2.564 7.310
0.000 -5.128 7.310
Tb Nd Te
3 5 8
direct
0.000 0.500 0.500 Tb
0.500 0.000 0.500 Tb
0.500 0.500 0.000 Tb
0.000 0.000 0.000 Nd
0.000 0.000 0.500 Nd
0.000 0.500 0.000 Nd
0.500 0.000 0.000 Nd
0.500 0.500 0.500 Nd
0.250 0.250 0.743 Te
0.250 0.743 0.250 Te
0.254 0.254 0.254 Te
0.257 0.750 0.750 Te
0.743 0.250 0.250 Te
0.746 0.746 0.746 Te
0.750 0.257 0.750 Te
0.750 0.750 0.257 Te
```

Computed properties:
- DFT total energy: -5.306 eV/atom

---

No. 8
A relaxed K5TcO6 crystal, computed with GGA-PBE.

Geometry as POSCAR:
```
K5TcO6
1.0
3.207 -5.519 0.000
3.207 5.519 0.000
-2.218 0.000 5.860
K Tc O
5 1 6
direct
0.000 0.000 0.000 K
0.167 0.833 0.500 K
0.337 0.663 0.000 K
0.663 0.337 0.000 K
0.833 0.167 0.500 K
0.500 0.500 0.500 Tc
0.189 0.436 0.306 O
0.317 0.317 0.685 O
0.436 0.189 0.306 O
0.564 0.811 0.694 O
0.683 0.683 0.315 O
0.811 0.564 0.694 O
```

Computed properties:
- DFT total energy: -5.300 eV/atom

---

No. 9
A relaxed CaY2Mg crystal, computed with GGA-PBE.

Geometry as POSCAR:
```
CaY2Mg
1.0
3.397 -5.938 0.000
3.397 5.938 0.000
-1.336 0.000 3.150
Ca Y Mg
1 2 1
direct
0.000 0.000 0.000 Ca
0.000 0.500 0.500 Y
0.500 0.000 0.500 Y
0.500 0.500 0.000 Mg
```

Computed properties:
- ΔH_f (0 K): 0.10 eV/atom
- DFT total energy: -4.027 eV/atom

---

No. 10
A relaxed DyCu12Ni6 crystal, computed with GGA-PBE.

Geometry as POSCAR:
```
DyCu12Ni6
1.0
5.213 3.010 2.718
-5.213 3.010 2.718
0.000 -6.020 2.718
Dy Cu Ni
1 12 6
direct
0.000 0.000 0.000 Dy
0.112 0.500 0.888 Cu
0.112 0.888 0.500 Cu
0.117 0.376 0.376 Cu
0.376 0.117 0.376 Cu
0.376 0.376 0.117 Cu
0.500 0.112 0.888 Cu
0.500 0.888 0.112 Cu
0.624 0.624 0.883 Cu
0.624 0.883 0.624 Cu
0.883 0.624 0.624 Cu
0.888 0.112 0.500 Cu
0.888 0.500 0.112 Cu
0.297 0.297 0.696 Ni
0.297 0.696 0.297 Ni
0.304 0.703 0.703 Ni
0.696 0.297 0.297 Ni
0.703 0.304 0.703 Ni
0.703 0.703 0.304 Ni
```

Computed properties:
- ΔH_f (0 K): 0.20 eV/atom
- DFT total energy: -4.458 eV/atom

---

No. 11
A relaxed Pr2TlPb3 crystal, computed with GGA-PBE.

Geometry as POSCAR:
```
Pr2TlPb3
1.0
2.342 -7.944 0.000
2.342 7.944 0.000
0.000 0.000 4.869
Pr Tl Pb
2 1 3
direct
0.149 0.851 0.000 Pr
0.851 0.149 0.000 Pr
0.000 0.000 0.500 Tl
0.324 0.676 0.500 Pb
0.500 0.500 0.000 Pb
0.676 0.324 0.500 Pb
```

Computed properties:
- ΔH_f (0 K): -0.46 eV/atom
- Polymorph energy (0 for the lowest one): 0 meV per atom
- DFT total energy: -4.299 eV/atom

---

No. 12
A relaxed RbNiP crystal, computed with GGA-PBE.

Geometry as POSCAR:
```
RbNiP
1.0
4.072 0.000 0.000
-0.768 4.000 0.000
-0.115 -0.359 10.640
Rb Ni P
2 2 2
direct
0.216 0.230 0.285 Rb
0.784 0.770 0.715 Rb
0.204 0.797 0.000 Ni
0.796 0.203 0.000 Ni
0.310 0.306 0.921 P
0.690 0.694 0.079 P
```

Computed properties:
- ΔH_f (0 K): -0.43 eV/atom
- DFT total energy: -4.487 eV/atom

---

No. 13
A relaxed TmNi6P crystal, computed with GGA-PBE.

Geometry as POSCAR:
```
TmNi6P
1.0
2.829 1.633 4.074
-2.829 1.633 4.074
0.000 -3.267 4.074
Tm Ni P
1 6 1
direct
0.000 0.000 0.000 Tm
0.038 0.620 0.620 Ni
0.380 0.380 0.962 Ni
0.380 0.962 0.380 Ni
0.620 0.038 0.620 Ni
0.620 0.620 0.038 Ni
0.962 0.380 0.380 Ni
0.500 0.500 0.500 P
```

Computed properties:
- ΔH_f (0 K): -0.15 eV/atom
- DFT total energy: -5.717 eV/atom

---

No. 14
A relaxed CdICl4 crystal, computed with GGA-PBE.

Geometry as POSCAR:
```
CdICl4
1.0
3.648 -9.501 0.000
3.648 9.501 0.000
-0.488 0.000 6.890
Cd I Cl
2 2 8
direct
0.040 0.960 0.750 Cd
0.960 0.040 0.250 Cd
0.348 0.652 0.250 I
0.652 0.348 0.750 I
0.057 0.363 0.422 Cl
0.151 0.251 0.965 Cl
0.251 0.151 0.465 Cl
0.363 0.057 0.922 Cl
0.637 0.943 0.078 Cl
0.749 0.849 0.535 Cl
0.849 0.749 0.035 Cl
0.943 0.637 0.578 Cl
```

Computed properties:
- DFT total energy: -2.157 eV/atom

---

No. 15
A relaxed HoVIr2 crystal, computed with GGA-PBE.

Geometry as POSCAR:
```
HoVIr2
1.0
2.121 1.224 4.826
-2.121 1.224 4.826
0.000 -2.449 4.826
Ho V Ir
1 1 2
direct
0.000 0.000 0.000 Ho
0.500 0.500 0.500 V
0.212 0.212 0.212 Ir
0.788 0.788 0.788 Ir
```

Computed properties:
- ΔH_f (0 K): -0.42 eV/atom
- Polymorph energy (0 for the lowest one): 136 meV per atom
- DFT total energy: -8.279 eV/atom

---

No. 16
A relaxed SrTlZn3 crystal, computed with GGA-PBE.

Geometry as POSCAR:
```
SrTlZn3
1.0
5.317 0.000 0.000
0.000 5.317 0.000
0.000 0.000 5.317
Sr Tl Zn
1 1 3
direct
0.000 0.000 0.000 Sr
0.500 0.500 0.500 Tl
0.000 0.500 0.500 Zn
0.500 0.000 0.500 Zn
0.500 0.500 0.000 Zn
```

Computed properties:
- ΔH_f (0 K): 0.25 eV/atom
- Polymorph energy (0 for the lowest one): 0 meV per atom
- DFT total energy: -1.323 eV/atom

---

No. 17
A relaxed Re2NiOs crystal, computed with GGA-PBE.

Geometry as POSCAR:
```
Re2NiOs
1.0
3.132 0.000 0.000
0.000 3.132 0.000
0.000 0.000 5.688
Re Ni Os
2 1 1
direct
0.000 0.000 0.000 Re
0.500 0.500 0.266 Re
0.000 0.000 0.488 Ni
0.500 0.500 0.721 Os
```

Computed properties:
- ΔH_f (0 K): 0.23 eV/atom
- Polymorph energy (0 for the lowest one): 290 meV per atom
- DFT total energy: -10.245 eV/atom

---

No. 18
A relaxed Cs2ZnPd crystal, computed with GGA-PBE.

Geometry as POSCAR:
```
Cs2ZnPd
1.0
-4.114 4.114 8.398
4.114 -4.114 8.398
4.114 4.114 -8.398
Cs Zn Pd
4 2 2
direct
0.037 0.625 0.912 Cs
0.375 0.287 0.412 Cs
0.713 0.125 0.088 Cs
0.875 0.963 0.588 Cs
0.250 0.750 0.500 Zn
0.500 0.500 0.000 Zn
0.000 0.000 0.000 Pd
0.750 0.250 0.500 Pd
```

Computed properties:
- ΔH_f (0 K): 0.41 eV/atom
- Polymorph energy (0 for the lowest one): 185 meV per atom
- DFT total energy: -1.631 eV/atom

---

No. 19
A relaxed NaIn4Bi5 crystal, computed with GGA-PBE.

Geometry as POSCAR:
```
NaIn4Bi5
1.0
3.364 0.000 0.000
0.000 3.364 0.000
0.000 0.000 28.293
Na In Bi
1 4 5
direct
0.000 0.000 0.000 Na
0.000 0.000 0.179 In
0.000 0.000 0.295 In
0.000 0.000 0.705 In
0.000 0.000 0.821 In
0.500 0.500 0.089 Bi
0.500 0.500 0.386 Bi
0.500 0.500 0.500 Bi
0.500 0.500 0.614 Bi
0.500 0.500 0.911 Bi
```

Computed properties:
- ΔH_f (0 K): 0.01 eV/atom
- DFT total energy: -3.159 eV/atom

---

No. 20
A relaxed Tb3NdHo2 crystal, computed with GGA-PBE.

Geometry as POSCAR:
```
Tb3NdHo2
1.0
7.183 0.000 0.000
3.585 6.233 0.000
1.800 1.049 8.615
Tb Nd Ho
6 2 4
direct
0.139 0.139 0.164 Tb
0.250 0.250 0.501 Tb
0.361 0.861 0.835 Tb
0.639 0.139 0.165 Tb
0.750 0.750 0.499 Tb
0.861 0.861 0.836 Tb
0.250 0.750 0.499 Nd
0.750 0.250 0.501 Nd
0.139 0.638 0.165 Ho
0.360 0.361 0.836 Ho
0.640 0.639 0.164 Ho
0.861 0.362 0.835 Ho
```

Computed properties:
- ΔH_f (0 K): 0.00 eV/atom
- Polymorph energy (0 for the lowest one): 0 meV per atom
- DFT total energy: -4.639 eV/atom

---

No. 21
A relaxed Ac6Ni2RuCl3 crystal, computed with GGA-PBE.

Geometry as POSCAR:
```
Ac6Ni2RuCl3
1.0
10.105 -2.147 0.000
10.105 2.147 0.000
-3.310 0.000 8.779
Ac Ni Ru Cl
6 2 1 3
direct
0.009 0.009 0.221 Ac
0.323 0.323 0.444 Ac
0.346 0.346 0.891 Ac
0.654 0.654 0.109 Ac
0.677 0.677 0.556 Ac
0.991 0.991 0.779 Ac
0.169 0.169 0.337 Ni
0.831 0.831 0.663 Ni
0.500 0.500 0.000 Ru
0.165 0.165 0.828 Cl
0.500 0.500 0.500 Cl
0.835 0.835 0.172 Cl
```

Computed properties:
- DFT total energy: -5.217 eV/atom

---

No. 22
A relaxed LiSm2Tl4 crystal, computed with GGA-PBE.

Geometry as POSCAR:
```
LiSm2Tl4
1.0
5.206 0.000 0.000
0.000 5.206 0.000
0.000 0.000 7.462
Li Sm Tl
1 2 4
direct
0.000 0.000 0.000 Li
0.000 0.000 0.500 Sm
0.500 0.500 0.000 Sm
0.000 0.500 0.251 Tl
0.000 0.500 0.749 Tl
0.500 0.000 0.251 Tl
0.500 0.000 0.749 Tl
```

Computed properties:
- ΔH_f (0 K): -0.20 eV/atom
- Polymorph energy (0 for the lowest one): 0 meV per atom
- DFT total energy: -3.178 eV/atom

---

No. 23
A relaxed Ti3HW crystal, computed with GGA-PBE.

Geometry as POSCAR:
```
Ti3HW
1.0
4.808 0.000 0.000
0.000 4.808 0.000
0.000 0.000 4.808
Ti H W
3 1 1
direct
0.000 0.000 0.500 Ti
0.000 0.500 0.000 Ti
0.500 0.000 0.000 Ti
0.500 0.500 0.500 H
0.000 0.000 0.000 W
```

Computed properties:
- Polymorph energy (0 for the lowest one): 1531 meV per atom
- DFT total energy: -6.474 eV/atom

---

No. 24
A relaxed VCo2Cl crystal, computed with GGA-PBE.

Geometry as POSCAR:
```
VCo2Cl
1.0
-2.697 2.697 4.455
2.697 -2.697 4.455
2.697 2.697 -4.455
V Co Cl
2 4 2
direct
0.000 0.000 0.000 V
0.750 0.250 0.500 V
0.128 0.625 0.003 Co
0.375 0.378 0.503 Co
0.622 0.125 0.997 Co
0.875 0.872 0.497 Co
0.250 0.750 0.500 Cl
0.500 0.500 0.000 Cl
```

Computed properties:
- DFT total energy: -5.657 eV/atom